[1]
TbTh2PaSb4 | PBE | relaxed

Unit cell a=7.694 b=4.445 c=7.699 alpha=90.00 beta=109.46 gamma=90.00
Fractional coordinates of all 8 atoms:
Tb (0.000, 0.000, 0.000)
Th (0.500, 0.000, 0.500)
Th (0.500, 0.500, 0.000)
Pa (0.000, 0.500, 0.500)
Sb (0.240, 0.000, 0.747)
Sb (0.240, 0.500, 0.248)
Sb (0.760, 0.000, 0.253)
Sb (0.760, 0.500, 0.752)

**Space-group type**: P2/m (10)
**Raw formation energy**: -846 meV/atom

[2]
Sc5Os4 | PBE | relaxed

Unit cell a=7.981 b=7.981 c=5.770 alpha=90.00 beta=90.00 gamma=120.00
Fractional coordinates of all 18 atoms:
Sc (0.000, 0.284, 0.250)
Sc (0.000, 0.716, 0.750)
Sc (0.284, 0.000, 0.250)
Sc (0.284, 0.284, 0.750)
Sc (0.333, 0.667, 0.000)
Sc (0.333, 0.667, 0.500)
Sc (0.667, 0.333, 0.000)
Sc (0.667, 0.333, 0.500)
Sc (0.716, 0.000, 0.750)
Sc (0.716, 0.716, 0.250)
Os (0.000, 0.000, 0.000)
Os (0.000, 0.000, 0.500)
Os (0.000, 0.368, 0.750)
Os (0.000, 0.632, 0.250)
Os (0.368, 0.000, 0.750)
Os (0.368, 0.368, 0.250)
Os (0.632, 0.000, 0.250)
Os (0.632, 0.632, 0.750)

**Formation energy**: -0.164 eV per atom
**Space-group type**: P6_3/mcm (193)
**Polymorph energy (0 for the lowest one)**: 0.0 meV/atom

[3]
NaLi2Mg | PBE | relaxed

Unit cell a=3.140 b=4.831 c=12.702 alpha=90.00 beta=90.60 gamma=90.00
Fractional coordinates of all 8 atoms:
Na (0.240, 0.250, 0.417)
Na (0.760, 0.750, 0.583)
Li (0.065, 0.750, 0.833)
Li (0.319, 0.250, 0.719)
Li (0.681, 0.750, 0.281)
Li (0.935, 0.250, 0.167)
Mg (0.302, 0.750, 0.063)
Mg (0.698, 0.250, 0.937)

**Formation energy**: 0.013 eV per atom
**Space-group type**: P2_1/m (11)

[4]
Ca2CdAg7 | PBE | relaxed

Unit cell a=7.293 b=7.293 c=7.293 alpha=60.00 beta=60.00 gamma=60.00
Fractional coordinates of all 10 atoms:
Ca (0.250, 0.250, 0.250)
Ca (0.750, 0.750, 0.750)
Cd (0.000, 0.000, 0.000)
Ag (0.251, 0.251, 0.749)
Ag (0.251, 0.749, 0.251)
Ag (0.251, 0.749, 0.749)
Ag (0.500, 0.500, 0.500)
Ag (0.749, 0.251, 0.251)
Ag (0.749, 0.251, 0.749)
Ag (0.749, 0.749, 0.251)

**Formation energy**: 0.218 eV per atom
**Space-group type**: Fm-3m (225)

[5]
Sm2SiTeO4 | PBE | relaxed

Unit cell a=9.892 b=6.394 c=8.703 alpha=90.00 beta=95.49 gamma=90.00
Fractional coordinates of all 32 atoms:
Sm (0.108, 0.154, 0.195)
Sm (0.108, 0.346, 0.695)
Sm (0.345, 0.696, 0.336)
Sm (0.345, 0.804, 0.836)
Sm (0.655, 0.196, 0.164)
Sm (0.655, 0.304, 0.664)
Sm (0.892, 0.654, 0.305)
Sm (0.892, 0.846, 0.805)
Si (0.125, 0.691, 0.056)
Si (0.125, 0.809, 0.556)
Si (0.875, 0.191, 0.444)
Si (0.875, 0.309, 0.944)
Te (0.411, 0.214, 0.380)
Te (0.411, 0.286, 0.880)
Te (0.589, 0.714, 0.120)
Te (0.589, 0.786, 0.620)
O (0.022, 0.196, 0.923)
O (0.022, 0.304, 0.423)
O (0.125, 0.634, 0.873)
O (0.125, 0.866, 0.373)
O (0.160, 0.507, 0.183)
O (0.160, 0.993, 0.683)
O (0.247, 0.634, 0.591)
O (0.247, 0.866, 0.091)
O (0.753, 0.134, 0.909)
O (0.753, 0.366, 0.409)
O (0.840, 0.007, 0.317)
O (0.840, 0.493, 0.817)
O (0.875, 0.134, 0.627)
O (0.875, 0.366, 0.127)
O (0.978, 0.696, 0.577)
O (0.978, 0.804, 0.077)

**Space-group type**: P2_1/c (14)
**Raw formation energy**: -2868 meV/atom
**Polymorph energy (0 for the lowest one)**: 7.3 meV/atom

[6]
Tl3OsF8 | PBE | relaxed

Unit cell a=8.339 b=8.339 c=7.717 alpha=90.00 beta=90.00 gamma=120.00
Fractional coordinates of all 24 atoms:
Tl (0.158, 0.315, 0.000)
Tl (0.158, 0.842, 0.000)
Tl (0.315, 0.158, 0.500)
Tl (0.685, 0.842, 0.000)
Tl (0.842, 0.158, 0.500)
Tl (0.842, 0.685, 0.500)
Os (0.333, 0.667, 0.483)
Os (0.667, 0.333, 0.983)
F (0.000, 0.000, 0.285)
F (0.000, 0.000, 0.785)
F (0.114, 0.557, 0.343)
F (0.223, 0.446, 0.622)
F (0.223, 0.777, 0.622)
F (0.333, 0.667, 0.985)
F (0.443, 0.557, 0.343)
F (0.443, 0.886, 0.343)
F (0.446, 0.223, 0.122)
F (0.554, 0.777, 0.622)
F (0.557, 0.114, 0.843)
F (0.557, 0.443, 0.843)
F (0.667, 0.333, 0.485)
F (0.777, 0.223, 0.122)
F (0.777, 0.554, 0.122)
F (0.886, 0.443, 0.843)

**Space-group type**: P6_3mc (186)
**Raw formation energy**: -1816 meV/atom